(w)
# BeIrW PBE relaxed
# Volume: 12.77 Å³ per atom
data_BeIrW
_symmetry_space_group_name_H-M 'I 4 m m'
_symmetry_Int_Tables_number 107
_symmetry_space_group_name_Hall 'I 4 -2'
_cell_length_a 2.814
_cell_length_b 2.814
_cell_length_c 9.675
_cell_angle_alpha 90.00
_cell_angle_beta 90.00
_cell_angle_gamma 90.00
loop_
_atom_site_label
_atom_site_type_symbol
_atom_site_fract_x
_atom_site_fract_y
_atom_site_fract_z
Be1 Be 0.000 0.000 0.000
Ir1 Ir 0.000 0.000 0.365
W1 W 0.000 0.000 0.671

---

(x)
# BeIrW PBE relaxed
# Volume: 13.02 Å³ per atom
data_BeIrW
_symmetry_space_group_name_H-M 'C m c m'
_symmetry_Int_Tables_number 63
_symmetry_space_group_name_Hall '-C 2c 2'
_cell_length_a 2.776
_cell_length_b 14.666
_cell_length_c 3.837
_cell_angle_alpha 90.00
_cell_angle_beta 90.00
_cell_angle_gamma 90.00
loop_
_atom_site_label
_atom_site_type_symbol
_atom_site_fract_x
_atom_site_fract_y
_atom_site_fract_z
Be1 Be 0.000 0.037 0.250
Ir1 Ir 0.000 0.403 0.250
W1 W 0.000 0.205 0.250

---

Q: What are the energies relative to the best structure? A: (w) 0; (x) 129, in meV/atom.

---

(w)
# BeIrW3 PBE relaxed
# Volume: 21.29 Å³ per atom
data_BeIrW3
_symmetry_space_group_name_H-M 'P m -3 m'
_symmetry_Int_Tables_number 221
_symmetry_space_group_name_Hall '-P 4 2 3'
_cell_length_a 4.739
_cell_length_b 4.739
_cell_length_c 4.739
_cell_angle_alpha 90.00
_cell_angle_beta 90.00
_cell_angle_gamma 90.00
loop_
_atom_site_label
_atom_site_type_symbol
_atom_site_fract_x
_atom_site_fract_y
_atom_site_fract_z
Be1 Be 0.000 0.000 0.000
Ir1 Ir 0.500 0.500 0.500
W1 W 0.000 0.500 0.500

---

(x)
# BeIrW3 PBE relaxed
# Volume: 14.74 Å³ per atom
data_BeIrW3
_symmetry_space_group_name_H-M 'P m -3 m'
_symmetry_Int_Tables_number 221
_symmetry_space_group_name_Hall '-P 4 2 3'
_cell_length_a 4.193
_cell_length_b 4.193
_cell_length_c 4.193
_cell_angle_alpha 90.00
_cell_angle_beta 90.00
_cell_angle_gamma 90.00
loop_
_atom_site_label
_atom_site_type_symbol
_atom_site_fract_x
_atom_site_fract_y
_atom_site_fract_z
Be1 Be 0.000 0.000 0.000
Ir1 Ir 0.500 0.500 0.500
W1 W 0.000 0.000 0.500

---

Q: What are the energies relative to the best structure? A: (w) 1594; (x) 0, in meV/atom.

---

(w)
# YBe2Ir PBE relaxed
# Volume: 14.54 Å³ per atom
data_YBe2Ir
_symmetry_space_group_name_H-M 'C 1 2/m 1'
_symmetry_Int_Tables_number 12
_cell_length_a 5.457
_cell_length_b 6.968
_cell_length_c 3.058
_cell_angle_alpha 90.00
_cell_angle_beta 90.20
_cell_angle_gamma 90.00
loop_
_symmetry_equiv_pos_as_xyz
'x,y,z'
'-x,-y,-z'
'-x,y,-z'
'x,-y,z'
'x+1/2,y+1/2,z'
'-x+1/2,-y+1/2,-z'
'-x+1/2,y+1/2,-z'
'x+1/2,-y+1/2,z'
loop_
_atom_site_label
_atom_site_type_symbol
_atom_site_fract_x
_atom_site_fract_y
_atom_site_fract_z
Y1 Y 0.000 0.000 0.000
Be1 Be 0.250 0.250 0.500
Ir1 Ir 0.000 0.500 0.000

---

(x)
# YBe2Ir PBE relaxed
# Volume: 15.11 Å³ per atom
data_YBe2Ir
_symmetry_space_group_name_H-M 'P 4 m m'
_symmetry_Int_Tables_number 99
_cell_length_a 3.044
_cell_length_b 3.044
_cell_length_c 6.523
_cell_angle_alpha 90.00
_cell_angle_beta 90.00
_cell_angle_gamma 90.00
loop_
_symmetry_equiv_pos_as_xyz
'x,y,z'
'-y,x,z'
'-x,-y,z'
'y,-x,z'
'-x,y,z'
'y,x,z'
'x,-y,z'
'-y,-x,z'
loop_
_atom_site_label
_atom_site_type_symbol
_atom_site_fract_x
_atom_site_fract_y
_atom_site_fract_z
Y1 Y 0.000 0.000 0.000
Be1 Be 0.000 0.000 0.520
Be2 Be 0.500 0.500 0.334
Ir1 Ir 0.500 0.500 0.683

---

(y)
# YBe2Ir PBE relaxed
# Volume: 14.51 Å³ per atom
data_YBe2Ir
_symmetry_space_group_name_H-M 'P 4/m m m'
_symmetry_Int_Tables_number 123
_symmetry_space_group_name_Hall '-P 4 2'
_cell_length_a 4.270
_cell_length_b 4.270
_cell_length_c 3.184
_cell_angle_alpha 90.00
_cell_angle_beta 90.00
_cell_angle_gamma 90.00
loop_
_atom_site_label
_atom_site_type_symbol
_atom_site_fract_x
_atom_site_fract_y
_atom_site_fract_z
Y1 Y 0.000 0.000 0.000
Be1 Be 0.000 0.500 0.500
Ir1 Ir 0.500 0.500 0.000

---

(z)
# YBe2Ir PBE relaxed
# Volume: 16.34 Å³ per atom
data_YBe2Ir
_symmetry_space_group_name_H-M 'R 3 m'
_symmetry_Int_Tables_number 160
_symmetry_space_group_name_Hall 'R 3 -2"'
_cell_length_a 3.9179
_cell_length_b 3.9179
_cell_length_c 14.7491
_cell_angle_alpha 90.00
_cell_angle_beta 90.00
_cell_angle_gamma 120.00
loop_
_atom_site_label
_atom_site_type_symbol
_atom_site_fract_x
_atom_site_fract_y
_atom_site_fract_z
Y1 Y 0.0000 0.0000 0.0000
Be1 Be 0.0000 0.0000 0.5100
Be2 Be 0.0000 0.0000 0.8126
Ir1 Ir 0.0000 0.0000 0.1960

---

Q: What are the energies relative to the best structure? A: (w) 567; (x) 294; (y) 614; (z) 0, in meV/atom.

---

(w)
# YBe2Ir PBE relaxed
# Volume: 15.50 Å³ per atom
data_YBe2Ir
_symmetry_space_group_name_H-M 'P 4/m m m'
_symmetry_Int_Tables_number 123
_symmetry_space_group_name_Hall '-P 4 2'
_cell_length_a 3.907
_cell_length_b 3.907
_cell_length_c 4.063
_cell_angle_alpha 90.00
_cell_angle_beta 90.00
_cell_angle_gamma 90.00
loop_
_atom_site_label
_atom_site_type_symbol
_atom_site_fract_x
_atom_site_fract_y
_atom_site_fract_z
Y1 Y 0.000 0.000 0.000
Be1 Be 0.000 0.500 0.500
Ir1 Ir 0.500 0.500 0.000

---

(x)
# YBe2Ir PBE relaxed
# Volume: 14.22 Å³ per atom
data_YBe2Ir
_symmetry_space_group_name_H-M 'F m -3 m'
_symmetry_Int_Tables_number 225
_symmetry_space_group_name_Hall '-F 4 2 3'
_cell_length_a 6.105
_cell_length_b 6.105
_cell_length_c 6.105
_cell_angle_alpha 90.00
_cell_angle_beta 90.00
_cell_angle_gamma 90.00
loop_
_atom_site_label
_atom_site_type_symbol
_atom_site_fract_x
_atom_site_fract_y
_atom_site_fract_z
Y1 Y 0.000 0.000 0.000
Be1 Be 0.250 0.250 0.250
Ir1 Ir 0.000 0.000 0.500

---

Q: What are the energies relative to the best structure? A: (w) 313; (x) 0, in meV/atom.

---

(w)
# YBe2Ir PBE relaxed
# Volume: 15.45 Å³ per atom
data_YBe2Ir
_symmetry_space_group_name_H-M 'I -4 m 2'
_symmetry_Int_Tables_number 119
_symmetry_space_group_name_Hall 'I -4 -2'
_cell_length_a 4.016
_cell_length_b 4.016
_cell_length_c 7.665
_cell_angle_alpha 90.00
_cell_angle_beta 90.00
_cell_angle_gamma 90.00
loop_
_atom_site_label
_atom_site_type_symbol
_atom_site_fract_x
_atom_site_fract_y
_atom_site_fract_z
Y1 Y 0.000 0.000 0.000
Be1 Be 0.000 0.000 0.500
Be2 Be 0.000 0.500 0.750
Ir1 Ir 0.000 0.500 0.250

---

(x)
# YBe2Ir PBE relaxed
# Volume: 15.76 Å³ per atom
data_YBe2Ir
_symmetry_space_group_name_H-M 'R -3 m'
_symmetry_Int_Tables_number 166
_symmetry_space_group_name_Hall '-R 3 2"'
_cell_length_a 3.9027
_cell_length_b 3.9027
_cell_length_c 14.3350
_cell_angle_alpha 90.00
_cell_angle_beta 90.00
_cell_angle_gamma 120.00
loop_
_atom_site_label
_atom_site_type_symbol
_atom_site_fract_x
_atom_site_fract_y
_atom_site_fract_z
Y1 Y 0.0000 0.0000 0.0000
Be1 Be 0.0000 0.0000 0.1954
Ir1 Ir 0.0000 0.0000 0.5000

---

Q: What are the energies relative to the best structure? A: (w) 575; (x) 0, in meV/atom.

---

(w)
# YBe2Ir PBE relaxed
# Volume: 15.71 Å³ per atom
data_YBe2Ir
_symmetry_space_group_name_H-M 'P 63/m m c'
_symmetry_Int_Tables_number 194
_symmetry_space_group_name_Hall '-P 6c 2c'
_cell_length_a 3.8804
_cell_length_b 3.8804
_cell_length_c 9.6388
_cell_angle_alpha 90.00
_cell_angle_beta 90.00
_cell_angle_gamma 120.00
loop_
_atom_site_label
_atom_site_type_symbol
_atom_site_fract_x
_atom_site_fract_y
_atom_site_fract_z
Y1 Y 0.3333 0.6667 0.2500
Be1 Be 0.3333 0.6667 0.5461
Ir1 Ir 0.0000 0.0000 0.0000

---

(x)
# YBe2Ir PBE relaxed
# Volume: 15.51 Å³ per atom
data_YBe2Ir
_symmetry_space_group_name_H-M 'F -4 3 m'
_symmetry_Int_Tables_number 216
_symmetry_space_group_name_Hall 'F -4 2 3'
_cell_length_a 6.284
_cell_length_b 6.284
_cell_length_c 6.284
_cell_angle_alpha 90.00
_cell_angle_beta 90.00
_cell_angle_gamma 90.00
loop_
_atom_site_label
_atom_site_type_symbol
_atom_site_fract_x
_atom_site_fract_y
_atom_site_fract_z
Y1 Y 0.000 0.000 0.000
Be1 Be 0.000 0.000 0.500
Be2 Be 0.250 0.250 0.250
Ir1 Ir 0.250 0.250 0.750

---

(y)
# YBe2Ir PBE relaxed
# Volume: 14.92 Å³ per atom
data_YBe2Ir
_symmetry_space_group_name_H-M 'I m m 2'
_symmetry_Int_Tables_number 44
_cell_length_a 3.099
_cell_length_b 4.605
_cell_length_c 8.366
_cell_angle_alpha 90.00
_cell_angle_beta 90.00
_cell_angle_gamma 90.00
loop_
_symmetry_equiv_pos_as_xyz
'x,y,z'
'-x,-y,z'
'-x,y,z'
'x,-y,z'
'x+1/2,y+1/2,z+1/2'
'-x+1/2,-y+1/2,z+1/2'
'-x+1/2,y+1/2,z+1/2'
'x+1/2,-y+1/2,z+1/2'
loop_
_atom_site_label
_atom_site_type_symbol
_atom_site_fract_x
_atom_site_fract_y
_atom_site_fract_z
Y1 Y 0.000 0.000 0.000
Be1 Be 0.000 0.000 0.493
Be2 Be 0.000 0.500 0.794
Ir1 Ir 0.000 0.500 0.211

---

Q: What are the energies relative to the best structure? A: (w) 0; (x) 561; (y) 494, in meV/atom.